Entry 1:
This record from Alexandria via LeMat-Bulk describes a geometry-optimized Re2IrSe structure. The functional is PBE-GGA.

Cell and atoms, written as POSCAR:
```
Re2IrSe
1.0
2.861 0.000 0.000
0.000 4.587 0.000
0.000 0.000 4.734
Ir Re Se
1 2 1
direct
0.000 0.500 0.500
0.000 0.000 0.000
0.500 0.500 0.000
0.500 0.000 0.500
```

Properties
Symmetry: Pmmm
Energy relative to the elements, uncorrected in meV/atom: 668
N(E_F) in states/eV/atom: 1.088
Total magnetization in Bohr magnetons per cell: 0.000
Energy in eV/atom: -8.643

=====

Entry 2:
This record from Alexandria via LeMat-Bulk describes a geometry-optimized ReIr3Se structure. The functional is PBE-GGA.

Cell and atoms, written as POSCAR:
```
ReIr3Se
1.0
4.549 0.000 0.000
0.000 4.549 0.000
0.000 0.000 4.549
Re Ir Se
1 3 1
direct
0.500 0.500 0.500
0.000 0.500 0.000
0.000 0.000 0.500
0.500 0.000 0.000
0.000 0.000 0.000
```

Properties
Polymorph energy (0 for the lowest one) in eV per atom: 0.008
Symmetry: Pm-3m
Energy relative to the elements, uncorrected in meV/atom: 1817
N(E_F) in states/eV/atom: 1.056
Total magnetization in Bohr magnetons per cell: 4.179
Energy in eV/atom: -6.686

=====

Repeat the second record exactly.
This record from Alexandria via LeMat-Bulk describes a geometry-optimized ReIr3Se structure. The functional is PBE-GGA.

Cell and atoms, written as POSCAR:
```
ReIr3Se
1.0
4.549 0.000 0.000
0.000 4.549 0.000
0.000 0.000 4.549
Re Ir Se
1 3 1
direct
0.500 0.500 0.500
0.000 0.500 0.000
0.000 0.000 0.500
0.500 0.000 0.000
0.000 0.000 0.000
```

Properties
Polymorph energy (0 for the lowest one) in eV per atom: 0.008
Symmetry: Pm-3m
Energy relative to the elements, uncorrected in meV/atom: 1817
N(E_F) in states/eV/atom: 1.056
Total magnetization in Bohr magnetons per cell: 4.179
Energy in eV/atom: -6.686